1.
{"formula": "Pr6Ge2SeI3", "functional": "PBE-GGA", "state": "optimized geometry", "lattice": [[3.780, -6.550, 0.000], [3.780, 6.550, 0.000], [-2.523, 0.000, 7.773]], "species": ["Pr", "Pr", "Pr", "Pr", "Pr", "Pr", "Ge", "Ge", "Se", "I", "I", "I"], "fractional_positions": [[0.097, 0.435, 0.803], [0.229, 0.229, 0.197], [0.435, 0.097, 0.803], [0.565, 0.903, 0.197], [0.771, 0.771, 0.803], [0.903, 0.565, 0.197], [0.166, 0.834, 0.000], [0.834, 0.166, 0.000], [0.500, 0.500, 0.000], [0.000, 0.000, 0.500], [0.332, 0.668, 0.500], [0.668, 0.332, 0.500]], "sg": "No. 12", "crystal_system": "monoclinic", "raw_formation_energy_ev_per_atom": -1.174}



2.
{"formula": "LiMg2ScHg4", "functional": "PBE-GGA", "state": "optimized geometry", "lattice": [[2.428, 1.402, 8.093], [-2.428, 1.402, 8.093], [0.000, -2.804, 8.093]], "species": ["Li", "Mg", "Mg", "Sc", "Hg", "Hg", "Hg", "Hg"], "fractional_positions": [[0.000, 0.000, 0.000], [0.250, 0.250, 0.250], [0.750, 0.750, 0.750], [0.500, 0.500, 0.500], [0.123, 0.123, 0.123], [0.373, 0.373, 0.373], [0.627, 0.627, 0.627], [0.877, 0.877, 0.877]], "delta_e_f_ev_per_atom": -0.336, "sg": "No. 166", "crystal_system": "trigonal"}



One value per record, in order, for DOS at the Fermi energy: 4.7, 3.2 states/eV/f.u..